Density functional theory data (PBE-GGA) for a relaxed YP3 crystal. Values from VASP.

Structure (Quantum ESPRESSO input):
```
&SYSTEM
  ibrav = 0, nat = 4, ntyp = 2
/
ATOMIC_SPECIES
Y 88.91 Y.upf
P 30.97 P.upf
CELL_PARAMETERS angstrom
4.142 0.000 0.000
0.000 3.684 0.000
-1.562 0.000 5.086
ATOMIC_POSITIONS angstrom
Y 0.000 0.000 0.000
P 0.295 1.842 3.974
P 1.290 0.000 2.543
P 2.285 1.842 1.112
```

Values from the calculation:
- calculated volume (Å³ per cell) = 78
- E (eV/atom) = -6.204
- formation energy from the elements (meV per atom) = -531

***

Density functional theory data (PBE-GGA) for a relaxed Y2ZnP crystal. Values from VASP.

Structure (Quantum ESPRESSO input):
```
&SYSTEM
  ibrav = 0, nat = 12, ntyp = 3
/
ATOMIC_SPECIES
Y 88.91 Y.upf
Zn 65.41 Zn.upf
P 30.97 P.upf
CELL_PARAMETERS angstrom
3.973 0.000 0.000
-1.987 3.441 0.000
0.000 0.000 21.628
ATOMIC_POSITIONS angstrom
Y 0.000 0.000 0.000
Y 0.000 0.000 4.121
Y 0.000 2.294 14.419
Y 0.000 2.294 18.539
Y 1.987 1.147 7.209
Y 1.987 1.147 11.330
Zn 0.000 0.000 9.239
Zn 0.000 2.294 2.030
Zn 1.987 1.147 16.448
P 0.000 0.000 12.867
P 0.000 2.294 5.658
P 1.987 1.147 20.076
```

Values from the calculation:
- calculated volume (Å³ per cell) = 296
- E (eV/atom) = -5.730
- formation energy from the elements (meV per atom) = -827

***

Density functional theory data (PBE-GGA) for a relaxed YZn2P crystal. Values from VASP.

Structure (Quantum ESPRESSO input):
```
&SYSTEM
  ibrav = 0, nat = 4, ntyp = 3
/
ATOMIC_SPECIES
Y 88.91 Y.upf
Zn 65.41 Zn.upf
P 30.97 P.upf
CELL_PARAMETERS angstrom
3.930 0.000 0.000
0.000 3.677 0.000
-1.945 0.000 5.416
ATOMIC_POSITIONS angstrom
Y 0.000 0.000 0.000
Zn 0.018 0.000 2.912
Zn 1.977 1.838 2.025
P 0.022 1.838 4.792
```

Values from the calculation:
- calculated volume (Å³ per cell) = 78
- E (eV/atom) = -4.124
- formation energy from the elements (meV per atom) = -518

***

Density functional theory data (PBE-GGA) for a relaxed Y2ZnP crystal. Values from VASP.

Structure (Quantum ESPRESSO input):
```
&SYSTEM
  ibrav = 0, nat = 8, ntyp = 3
/
ATOMIC_SPECIES
Y 88.91 Y.upf
Zn 65.41 Zn.upf
P 30.97 P.upf
CELL_PARAMETERS angstrom
4.096 0.000 0.000
0.000 4.096 0.000
0.000 0.000 10.713
ATOMIC_POSITIONS angstrom
Y 0.000 0.000 0.000
Y 0.000 2.048 2.678
Y 2.048 0.000 8.034
Y 2.048 2.048 5.356
Zn 0.000 2.048 8.034
Zn 2.048 0.000 2.678
P 0.000 0.000 5.356
P 2.048 2.048 0.000
```

Values from the calculation:
- calculated volume (Å³ per cell) = 180
- E (eV/atom) = -5.509
- formation energy from the elements (meV per atom) = -606

***

Density functional theory data (PBE-GGA) for a relaxed YZn2P crystal. Values from VASP.

Structure (Quantum ESPRESSO input):
```
&SYSTEM
  ibrav = 0, nat = 12, ntyp = 3
/
ATOMIC_SPECIES
Y 88.91 Y.upf
Zn 65.41 Zn.upf
P 30.97 P.upf
CELL_PARAMETERS angstrom
4.083 0.000 0.000
-2.042 3.536 0.000
0.000 0.000 16.326
ATOMIC_POSITIONS angstrom
Y 0.000 0.000 0.000
Y 0.000 2.358 10.884
Y 2.042 1.179 5.442
Zn 0.000 0.000 3.661
Zn 0.000 0.000 12.665
Zn 0.000 2.358 7.223
Zn 0.000 2.358 14.546
Zn 2.042 1.179 1.781
Zn 2.042 1.179 9.104
P 0.000 0.000 8.163
P 0.000 2.358 2.721
P 2.042 1.179 13.605
```

Values from the calculation:
- calculated volume (Å³ per cell) = 236
- E (eV/atom) = -3.866
- formation energy from the elements (meV per atom) = -261

***

Density functional theory data (PBE-GGA) for a relaxed YZn2P crystal. Values from VASP.

Structure (Quantum ESPRESSO input):
```
&SYSTEM
  ibrav = 0, nat = 8, ntyp = 3
/
ATOMIC_SPECIES
Y 88.91 Y.upf
Zn 65.41 Zn.upf
P 30.97 P.upf
CELL_PARAMETERS angstrom
9.083 0.000 0.000
0.000 3.840 0.000
-1.271 0.000 4.485
ATOMIC_POSITIONS angstrom
Y 0.000 0.000 0.000
Y 4.541 1.920 0.000
Zn 0.443 1.920 2.633
Zn 2.457 0.000 2.107
Zn 4.984 0.000 2.633
Zn 6.998 1.920 2.107
P 1.933 1.920 0.652
P 6.474 0.000 0.652
```

Values from the calculation:
- calculated volume (Å³ per cell) = 156
- E (eV/atom) = -4.116
- formation energy from the elements (meV per atom) = -510

***

Density functional theory data (PBE-GGA) for a relaxed YZn2P crystal. Values from VASP.

Structure (Quantum ESPRESSO input):
```
&SYSTEM
  ibrav = 0, nat = 4, ntyp = 3
/
ATOMIC_SPECIES
Y 88.91 Y.upf
Zn 65.41 Zn.upf
P 30.97 P.upf
CELL_PARAMETERS angstrom
3.971 0.000 0.000
0.000 3.971 0.000
0.000 0.000 4.727
ATOMIC_POSITIONS angstrom
Y 0.000 0.000 0.000
Zn 0.000 1.986 2.364
Zn 1.986 0.000 2.364
P 1.986 1.986 0.000
```

Values from the calculation:
- calculated volume (Å³ per cell) = 75
- E (eV/atom) = -4.120
- formation energy from the elements (meV per atom) = -515

***

Density functional theory data (PBE-GGA) for a relaxed Y2ZnP crystal. Values from VASP.

Structure (Quantum ESPRESSO input):
```
&SYSTEM
  ibrav = 0, nat = 8, ntyp = 3
/
ATOMIC_SPECIES
Y 88.91 Y.upf
Zn 65.41 Zn.upf
P 30.97 P.upf
CELL_PARAMETERS angstrom
4.671 0.000 0.000
0.000 4.671 0.000
0.000 0.000 7.864
ATOMIC_POSITIONS angstrom
Y 0.000 2.335 1.966
Y 0.000 2.335 5.898
Y 2.335 0.000 1.966
Y 2.335 0.000 5.898
Zn 0.000 0.000 0.000
Zn 2.335 2.335 3.932
P 0.000 0.000 3.932
P 2.335 2.335 0.000
```

Values from the calculation:
- calculated volume (Å³ per cell) = 172
- E (eV/atom) = -5.501
- formation energy from the elements (meV per atom) = -598

***

Density functional theory data (PBE-GGA) for a relaxed Y2ZnP crystal. Values from VASP.

Structure (Quantum ESPRESSO input):
```
&SYSTEM
  ibrav = 0, nat = 8, ntyp = 3
/
ATOMIC_SPECIES
Y 88.91 Y.upf
Zn 65.41 Zn.upf
P 30.97 P.upf
CELL_PARAMETERS angstrom
3.928 0.000 0.000
0.000 4.169 0.000
0.000 0.000 10.679
ATOMIC_POSITIONS angstrom
Y 0.000 0.000 0.000
Y 0.000 2.084 5.340
Y 1.964 0.000 3.041
Y 1.964 2.084 8.381
Zn 1.964 0.000 6.049
Zn 1.964 2.084 0.710
P 0.000 0.000 7.734
P 0.000 2.084 2.394
```

Values from the calculation:
- calculated volume (Å³ per cell) = 175
- E (eV/atom) = -5.789
- formation energy from the elements (meV per atom) = -886

***

Density functional theory data (PBE-GGA) for a relaxed Y2ZnP crystal. Values from VASP.

Structure (Quantum ESPRESSO input):
```
&SYSTEM
  ibrav = 0, nat = 16, ntyp = 3
/
ATOMIC_SPECIES
Y 88.91 Y.upf
Zn 65.41 Zn.upf
P 30.97 P.upf
CELL_PARAMETERS angstrom
7.050 0.000 0.000
0.000 7.050 0.000
0.000 0.000 7.050
ATOMIC_POSITIONS angstrom
Y 0.000 0.000 0.000
Y 0.000 3.525 3.525
Y 1.762 1.762 1.762
Y 1.762 5.287 5.287
Y 3.525 0.000 3.525
Y 3.525 3.525 0.000
Y 5.287 1.762 5.287
Y 5.287 5.287 1.762
Zn 1.762 1.762 5.287
Zn 1.762 5.287 1.762
Zn 5.287 1.762 1.762
Zn 5.287 5.287 5.287
P 0.000 0.000 3.525
P 0.000 3.525 0.000
P 3.525 0.000 0.000
P 3.525 3.525 3.525
```

Values from the calculation:
- calculated volume (Å³ per cell) = 350
- E (eV/atom) = -4.801
- formation energy from the elements (meV per atom) = 102

***

Density functional theory data (PBE-GGA) for a relaxed YZn2P crystal. Values from VASP.

Structure (Quantum ESPRESSO input):
```
&SYSTEM
  ibrav = 0, nat = 16, ntyp = 3
/
ATOMIC_SPECIES
Y 88.91 Y.upf
Zn 65.41 Zn.upf
P 30.97 P.upf
CELL_PARAMETERS angstrom
7.687 0.000 0.000
0.000 7.687 0.000
0.000 0.000 5.404
ATOMIC_POSITIONS angstrom
Y 0.000 0.000 0.000
Y 0.000 3.843 1.351
Y 3.843 0.000 4.053
Y 3.843 3.843 2.702
Zn 1.484 1.922 3.377
Zn 1.922 5.327 4.728
Zn 1.922 6.203 2.026
Zn 2.360 1.922 0.675
Zn 5.327 5.765 0.675
Zn 5.765 1.484 2.026
Zn 5.765 2.360 4.728
Zn 6.203 5.765 3.377
P 0.000 0.000 2.702
P 0.000 3.843 4.053
P 3.843 0.000 1.351
P 3.843 3.843 0.000
```

Values from the calculation:
- calculated volume (Å³ per cell) = 319
- E (eV/atom) = -4.027
- formation energy from the elements (meV per atom) = -422

***

Density functional theory data (PBE-GGA) for a relaxed Y2ZnP crystal. Values from VASP.

Structure (Quantum ESPRESSO input):
```
&SYSTEM
  ibrav = 0, nat = 4, ntyp = 3
/
ATOMIC_SPECIES
Y 88.91 Y.upf
Zn 65.41 Zn.upf
P 30.97 P.upf
CELL_PARAMETERS angstrom
4.081 0.000 0.000
0.000 4.081 0.000
0.000 0.000 5.776
ATOMIC_POSITIONS angstrom
Y 0.000 0.000 0.000
Y 2.041 2.041 2.888
Zn 0.000 0.000 2.888
P 2.041 2.041 0.000
```

Values from the calculation:
- calculated volume (Å³ per cell) = 96
- E (eV/atom) = -5.657
- formation energy from the elements (meV per atom) = -754

***

Density functional theory data (PBE-GGA) for a relaxed YZn2P crystal. Values from VASP.

Structure (Quantum ESPRESSO input):
```
&SYSTEM
  ibrav = 0, nat = 12, ntyp = 3
/
ATOMIC_SPECIES
Y 88.91 Y.upf
Zn 65.41 Zn.upf
P 30.97 P.upf
CELL_PARAMETERS angstrom
4.194 0.000 0.000
-2.097 3.633 0.000
0.000 0.000 14.902
ATOMIC_POSITIONS angstrom
Y 0.000 0.000 0.000
Y 0.000 2.422 9.935
Y 2.097 1.211 4.967
Zn 0.000 0.000 7.313
Zn 0.000 0.000 11.564
Zn 0.000 2.422 2.346
Zn 0.000 2.422 6.597
Zn 2.097 1.211 1.629
Zn 2.097 1.211 12.281
P 0.000 0.000 3.260
P 0.000 2.422 13.195
P 2.097 1.211 8.228
```

Values from the calculation:
- calculated volume (Å³ per cell) = 227
- E (eV/atom) = -4.041
- formation energy from the elements (meV per atom) = -436

***

Density functional theory data (PBE-GGA) for a relaxed Y2ZnP2 crystal. Values from VASP.

Structure (Quantum ESPRESSO input):
```
&SYSTEM
  ibrav = 0, nat = 10, ntyp = 3
/
ATOMIC_SPECIES
Y 88.91 Y.upf
Zn 65.41 Zn.upf
P 30.97 P.upf
CELL_PARAMETERS angstrom
7.344 0.000 0.000
0.000 7.344 0.000
0.000 0.000 3.763
ATOMIC_POSITIONS angstrom
Y 1.159 2.513 0.000
Y 2.513 6.185 0.000
Y 4.831 1.159 0.000
Y 6.185 4.831 0.000
Zn 0.000 0.000 1.882
Zn 3.672 3.672 1.882
P 1.118 4.790 1.882
P 2.554 1.118 1.882
P 4.790 6.226 1.882
P 6.226 2.554 1.882
```

Values from the calculation:
- calculated volume (Å³ per cell) = 203
- E (eV/atom) = -6.041
- formation energy from the elements (meV per atom) = -1036